Record 1
Compound: Zr5Te
Source: the Alexandria database
Functional: PBE-GGA
Structure: relaxed

a b c (Å): 5.8680 5.8680 5.8680
angles (deg): 60.00 60.00 60.00
Last column: nearest neighbours and their distance in Å.
Positions (direct):
1 Zr 0.0000 0.0000 0.0000  12 Zr 3.43, 4 Te 3.59
2 Zr 0.1163 0.6279 0.6279  6 Zr 2.87-3.00
3 Zr 0.6279 0.1163 0.6279  6 Zr 2.87-3.00
4 Zr 0.6279 0.6279 0.1163  6 Zr 2.87-3.00
5 Zr 0.6279 0.6279 0.6279  6 Zr 2.87-3.00
6 Te 0.2500 0.2500 0.2500  16 Zr 3.45-3.59

Summary:
Magnetization   0.00 μB per atom
Relative energy among the computed polymorphs   422.3 meV/atom
Space-group type   F-43m (216)
Total energy   -7.453 eV per atom

=====

Record 2
Compound: NaPuO4
Source: the Alexandria database
Functional: PBE-GGA
Structure: relaxed

a b c (Å): 5.9922 5.2308 6.1020
angles (deg): 90.00 108.44 90.00
Last column: nearest neighbours and their distance in Å.
Positions (direct):
1 Na 0.0000 0.0000 0.0000  6 O 2.41-2.49
2 Na 0.0000 0.5000 0.5000  6 O 2.41-2.49
3 Pu 0.5000 0.0000 0.5000  4 O 1.84-1.97
4 Pu 0.5000 0.5000 0.0000  4 O 1.84-1.97
5 O 0.2064 0.1487 0.3946  1 Pu 1.84
6 O 0.2064 0.3513 0.8946  1 Pu 1.84
7 O 0.3770 0.7380 0.6636  1 Pu 1.97
8 O 0.3770 0.7620 0.1636  1 Pu 1.97
9 O 0.6230 0.2380 0.8364  1 Pu 1.97
10 O 0.6230 0.2620 0.3364  1 Pu 1.97
11 O 0.7936 0.6487 0.1054  1 Pu 1.84
12 O 0.7936 0.8513 0.6054  1 Pu 1.84

Summary:
Magnetization   0.17 μB per atom
Relative energy among the computed polymorphs   0.0 meV/atom
Space-group type   P2_1/c (14)
Total energy   -8.150 eV per atom

=====

Record 3
Compound: BaY3Cr
Source: the Alexandria database
Functional: PBE-GGA
Structure: relaxed

a b c (Å): 5.5841 5.5841 5.5841
angles (deg): 90.00 90.00 90.00
Last column: nearest neighbours and their distance in Å.
Positions (direct):
1 Ba 0.0000 0.0000 0.0000  12 Y 3.95
2 Y 0.0000 0.5000 0.5000  2 Cr 2.79
3 Y 0.5000 0.0000 0.5000  2 Cr 2.79
4 Y 0.5000 0.5000 0.0000  2 Cr 2.79
5 Cr 0.5000 0.5000 0.5000  6 Y 2.79

Summary:
Formation energy   32 kJ per mole of atoms
Magnetization   0.38 μB per atom
Relative energy among the computed polymorphs   0.0 meV/atom
Space-group type   Pm-3m (221)
Total energy   -5.852 eV per atom

=====

Record 4
Compound: NdCoGe
Source: the Alexandria database
Functional: PBE-GGA
Structure: relaxed

a b c (Å): 8.8582 7.9871 6.3607
angles (deg): 75.30 60.71 43.99
Last column: nearest neighbours and their distance in Å.
Positions (direct):
1 Nd 0.0764 0.6736 0.0764  2 Co 2.70
2 Nd 0.3264 0.9236 0.3264  2 Co 2.70
3 Nd 0.6736 0.0764 0.6736  2 Co 2.70
4 Nd 0.9236 0.3264 0.9236  2 Co 2.70
5 Co 0.0000 0.5000 0.5000  2 Ge 2.25
6 Co 0.5000 0.0000 0.5000  2 Ge 2.25
7 Co 0.5000 0.5000 0.0000  2 Ge 2.25
8 Co 0.5000 0.5000 0.5000  2 Ge 2.25
9 Ge 0.1915 0.5585 0.5585  2 Co 2.25
10 Ge 0.4415 0.8085 0.8085  2 Co 2.25
11 Ge 0.5585 0.1915 0.1915  2 Co 2.25
12 Ge 0.8085 0.4415 0.4415  2 Co 2.25

Summary:
Formation energy   -15 kJ per mole of atoms
Magnetization   0.26 μB per atom
Space-group type   Fddd (70)
Total energy   -5.657 eV per atom

=====

Record 5
Compound: Mg8TlCd2
Source: the Alexandria database
Functional: PBE-GGA
Structure: relaxed

a b c (Å): 7.8046 7.8046 5.3029
angles (deg): 102.89 102.89 116.74
Last column: nearest neighbours and their distance in Å.
Positions (direct):
1 Mg 0.0948 0.3260 0.6237  2 Cd 2.91-2.96, 4 Mg 3.07-3.20
2 Mg 0.2216 0.7784 0.0000  2 Cd 2.87, 1 Tl 2.94, 2 Mg 3.20
3 Mg 0.3260 0.0948 0.6237  2 Cd 2.91-2.96, 4 Mg 3.07-3.20
4 Mg 0.4015 0.4015 0.1900  6 Mg 2.98-3.28, 2 Cd 2.99, 1 Tl 3.00
5 Mg 0.5985 0.5985 0.8100  6 Mg 2.98-3.28, 2 Cd 2.99, 1 Tl 3.00
6 Mg 0.6740 0.9052 0.3763  2 Cd 2.91-2.96, 4 Mg 3.07-3.20
7 Mg 0.7784 0.2216 0.0000  2 Cd 2.87, 1 Tl 2.94, 2 Mg 3.20
8 Mg 0.9052 0.6740 0.3763  2 Cd 2.91-2.96, 4 Mg 3.07-3.20
9 Tl 0.0000 0.0000 0.0000  4 Mg 2.94-3.00
10 Cd 0.3051 0.6949 0.5000  8 Mg 2.87-2.99
11 Cd 0.6949 0.3051 0.5000  8 Mg 2.87-2.99

Summary:
Formation energy   1 kJ per mole of atoms
Magnetization   0.00 μB per atom
Relative energy among the computed polymorphs   35.0 meV/atom
Space-group type   C2/m (12)
Total energy   -1.535 eV per atom

=====

Record 6
Compound: Ac2HPb
Source: the Alexandria database
Functional: PBE-GGA
Structure: relaxed

a b c (Å): 5.0445 5.0445 9.3941
angles (deg): 90.00 90.00 90.00
Last column: nearest neighbours and their distance in Å.
Positions (direct):
1 Ac 0.2500 0.2500 0.1429  1 H 2.57
2 Ac 0.2500 0.7500 0.5000  4 H 2.64
3 Ac 0.7500 0.2500 0.5000  4 H 2.64
4 Ac 0.7500 0.7500 0.8571  1 H 2.57
5 H 0.2500 0.2500 0.4163  5 Ac 2.57-2.64
6 H 0.7500 0.7500 0.5837  5 Ac 2.57-2.64
7 Pb 0.2500 0.2500 0.7757  1 H 3.38, 9 Ac 3.45-3.65
8 Pb 0.7500 0.7500 0.2243  1 H 3.38, 9 Ac 3.45-3.65

Summary:
Magnetization   0.00 μB per atom
Relative energy among the computed polymorphs   0.0 meV/atom
Space-group type   P4/nmm (129)
Total energy   -4.326 eV per atom

=====

Record 7
Compound: BaTbZn2Au2
Source: the Alexandria database
Functional: PBE-GGA
Structure: relaxed

a b c (Å): 4.6520 4.6520 7.9627
angles (deg): 90.00 90.00 120.00
Last column: nearest neighbours and their distance in Å.
Positions (direct):
1 Ba 0.0000 0.0000 0.0000  6 Zn 3.60, 6 Au 3.61, 2 Tb 3.98
2 Tb 0.0000 0.0000 0.5000  6 Au 3.11, 6 Zn 3.12
3 Zn 0.3333 0.6667 0.6988  3 Au 2.69
4 Zn 0.6667 0.3333 0.3012  3 Au 2.69
5 Au 0.3333 0.6667 0.3036  3 Zn 2.69
6 Au 0.6667 0.3333 0.6964  3 Zn 2.69

Summary:
Formation energy   -60 kJ per mole of atoms
Magnetization   0.00 μB per atom
Space-group type   P-3m1 (164)
Total energy   -3.235 eV per atom

=====

Record 8
Compound: Ta2SbCl
Source: the Alexandria database
Functional: PBE-GGA
Structure: relaxed

a b c (Å): 3.0321 3.0321 10.2947
angles (deg): 90.00 90.00 104.87
Last column: nearest neighbours and their distance in Å.
Positions (direct):
1 Ta 0.0000 0.0000 0.0000  6 Ta 2.84-3.03, 2 Sb 2.88
2 Ta 0.5000 0.5000 0.2101  2 Cl 2.61, 2 Ta 2.84
3 Sb 0.5000 0.5000 0.7853  2 Ta 2.88, 4 Sb 3.03
4 Cl 0.0000 0.0000 0.3888  2 Ta 2.61

Summary:
Magnetization   0.00 μB per atom
Relative energy among the computed polymorphs   5.6 meV/atom
Space-group type   Cmm2 (35)
Total energy   -7.627 eV per atom

=====

Please write out number 1 again, unchanged.
Compound: Zr5Te
Source: the Alexandria database
Functional: PBE-GGA
Structure: relaxed

a b c (Å): 5.8680 5.8680 5.8680
angles (deg): 60.00 60.00 60.00
Last column: nearest neighbours and their distance in Å.
Positions (direct):
1 Zr 0.0000 0.0000 0.0000  12 Zr 3.43, 4 Te 3.59
2 Zr 0.1163 0.6279 0.6279  6 Zr 2.87-3.00
3 Zr 0.6279 0.1163 0.6279  6 Zr 2.87-3.00
4 Zr 0.6279 0.6279 0.1163  6 Zr 2.87-3.00
5 Zr 0.6279 0.6279 0.6279  6 Zr 2.87-3.00
6 Te 0.2500 0.2500 0.2500  16 Zr 3.45-3.59

Summary:
Magnetization   0.00 μB per atom
Relative energy among the computed polymorphs   422.3 meV/atom
Space-group type   F-43m (216)
Total energy   -7.453 eV per atom